1.
Compound: Cd2Ag5Sn2
Source: Alexandria
Functional: PBE
Structure: relaxed

Properties
As for the symmetry: No. 46. Its formation energy from the elements is 7.4 kJ per mole of atoms.

abc: 7.4119 7.3108 8.9673
angles: 114.06 114.41 90.00
With the nearest neighbours (Å) after each atom.
Sites, in units of the cell vectors:
Cd 0.1047 0.7771 0.2745  6 Ag 2.86-3.08, 2 Sn 3.13-3.14
Cd 0.8953 0.5027 0.7255  6 Ag 2.86-3.08, 2 Sn 3.13-3.14
Cd 0.6697 0.2771 0.2745  6 Ag 2.86-3.08, 2 Sn 3.13-3.14
Cd 0.3303 0.0027 0.7255  6 Ag 2.86-3.08, 2 Sn 3.13-3.14
Ag 0.2859 0.7645 0.8990  2 Sn 2.83-2.91, 4 Ag 2.84-2.92, 2 Cd 2.86-2.88
Ag 0.7141 0.8655 0.1010  2 Sn 2.83-2.91, 4 Ag 2.84-2.92, 2 Cd 2.86-2.88
Ag 0.1130 0.2645 0.8990  2 Sn 2.83-2.91, 4 Ag 2.84-2.92, 2 Cd 2.86-2.88
Ag 0.8870 0.3655 0.1010  2 Sn 2.83-2.91, 4 Ag 2.84-2.92, 2 Cd 2.86-2.88
Ag 0.4660 0.9582 0.2939  2 Cd 2.88-2.89, 4 Ag 2.89-3.05, 2 Sn 2.93-2.95
Ag 0.5340 0.6643 0.7061  2 Cd 2.88-2.89, 4 Ag 2.89-3.05, 2 Sn 2.93-2.95
Ag 0.3279 0.4582 0.2939  2 Cd 2.88-2.89, 4 Ag 2.89-3.05, 2 Sn 2.93-2.95
Ag 0.6721 0.1643 0.7061  2 Cd 2.88-2.89, 4 Ag 2.89-3.05, 2 Sn 2.93-2.95
Ag 0.0742 0.5874 0.5000  2 Sn 2.90-2.93, 4 Ag 2.92-3.05, 4 Cd 2.95-3.08
Ag 0.9258 0.0874 0.5000  2 Sn 2.90-2.93, 4 Ag 2.92-3.05, 4 Cd 2.95-3.08
Sn 0.0000 0.9681 0.0000  4 Ag 2.83-2.91, 2 Cd 3.14
Sn 0.5000 0.4681 0.0000  4 Ag 2.83-2.91, 2 Cd 3.14
Sn 0.2841 0.2482 0.5000  6 Ag 2.90-2.95, 2 Cd 3.13
Sn 0.7159 0.7482 0.5000  6 Ag 2.90-2.95, 2 Cd 3.13

---

2.
Compound: LuNbO4
Source: Alexandria
Functional: PBE
Structure: relaxed

Properties
As for the symmetry: No. 12. Its raw formation energy is -297.8 kJ per mole of atoms.

abc: 6.9750 6.9750 7.1084
angles: 73.98 73.98 33.30
With the nearest neighbours (Å) after each atom.
Sites, in units of the cell vectors:
Lu 0.8029 0.8029 0.7955  6 O 2.14-2.35
Lu 0.1971 0.1971 0.2045  6 O 2.14-2.35
Nb 0.9005 0.9005 0.2135  4 O 1.84-2.04
Nb 0.0995 0.0995 0.7865  4 O 1.84-2.04
O 0.9504 0.9504 0.8653  1 Nb 1.91
O 0.8661 0.8661 0.4828  1 Nb 1.84
O 0.2447 0.2447 0.8594  3 Lu 2.15-2.35, 1 Nb 2.15
O 0.3727 0.3727 0.1961  2 Nb 2.04
O 0.6273 0.6273 0.8039  2 Nb 2.04
O 0.7553 0.7553 0.1406  3 Lu 2.15-2.35, 1 Nb 2.15
O 0.1339 0.1339 0.5172  1 Nb 1.84
O 0.0496 0.0496 0.1347  1 Nb 1.91

---

3.
Compound: Rb2HfTlBr8
Source: Alexandria
Functional: PBE
Structure: relaxed

Properties
As for the symmetry: No. 2. Its raw formation energy is -124.6 kJ per mole of atoms.

abc: 7.6021 6.7552 9.4703
angles: 74.13 94.14 88.78
With the nearest neighbours (Å) after each atom.
Sites, in units of the cell vectors:
Rb 0.5209 0.3836 0.7927  6 Br 3.45-3.64
Rb 0.4791 0.6164 0.2073  6 Br 3.45-3.64
Hf 0.0000 0.0000 0.0000  6 Br 2.62-2.65
Tl 0.0000 0.0000 0.5000  6 Br 3.36-3.62
Br 0.0211 0.7050 0.2519  1 Hf 2.65
Br 0.7071 0.8586 0.9097  1 Hf 2.62
Br 0.8182 0.2307 0.1250  1 Hf 2.63
Br 0.9789 0.2950 0.7481  1 Hf 2.65
Br 0.2929 0.1414 0.0903  1 Hf 2.62
Br 0.1818 0.7693 0.8750  1 Hf 2.63
Br 0.5937 0.8142 0.5007  1 Br 2.86
Br 0.4063 0.1858 0.4993  1 Br 2.86